1.
Below is a PBEsol-optimized structure of AlTl2Co, with properties calculated at the meta-GGA SCAN level.

Results
ΔH_f (0 K) = 0.542 eV/atom
crystal system = monoclinic
energy above the lowest structure with this stoichiometry = 2.20 kcal/mol of atoms

a = 6.0349 Å, b = 9.2820 Å, c = 3.3359 Å
α = 90.00°, β = 123.04°, γ = 90.00°
Closest atoms and distances in Å follow each position.
Space group C2/m (No. 12)
Symmetry-distinct sites (fractional):
1 Al 0.0000 0.0000 0.0000 x2  4 Tl 2.77, 4 Co 3.02-3.04
2 Tl 0.2500 0.2500 0.5000 x4  2 Co 2.77, 2 Al 2.77, 4 Tl 3.02-3.04
3 Co 0.0000 0.5000 0.0000 x2  4 Tl 2.77, 4 Al 3.02-3.04



2.
Below is a PBEsol-optimized structure of Al2TlCo, with properties calculated at the meta-GGA SCAN level.

Results
ΔH_f (0 K) = 0.258 eV/atom
crystal system = monoclinic
energy above the lowest structure with this stoichiometry = 7.56 kcal/mol of atoms

a = 4.6898 Å, b = 3.1074 Å, c = 4.6941 Å
α = 90.00°, β = 111.25°, γ = 90.00°
Closest atoms and distances in Å follow each position.
Space group P2/m (No. 10)
Symmetry-distinct sites (fractional):
1 Al 0.0000 0.0000 0.0000 x1  2 Co 2.65, 4 Al 2.81, 4 Tl 2.81
2 Al 0.5000 0.5000 0.0000 x1  2 Tl 2.65, 4 Al 2.81, 4 Co 2.81
3 Tl 0.0000 0.5000 0.5000 x1  6 Al 2.65-2.81, 4 Co 2.81
4 Co 0.5000 0.0000 0.5000 x1  6 Al 2.65-2.81, 4 Tl 2.81



3.
Below is a PBEsol-optimized structure of AlCo6W, with properties calculated at the meta-GGA SCAN level.

Results
ΔH_f (0 K) = 0.000 eV/atom
crystal system = orthorhombic

a = 7.0229 Å, b = 9.9676 Å, c = 9.9674 Å
α = 90.00°, β = 90.00°, γ = 90.00°
Closest atoms and distances in Å follow each position.
Space group Cmmm (No. 65)
Symmetry-distinct sites (fractional):
1 Al 0.0000 0.0000 0.2494 x4  12 Co 2.47-2.50
2 Al 0.0000 0.2554 0.0000 x4  12 Co 2.44-2.55
3 Co 0.0000 0.0000 0.0000 x2  8 Co 2.47, 4 Al 2.49-2.55
4 Co 0.0000 0.0000 0.5000 x2  8 Co 2.48, 2 Al 2.50, 2 W 2.52
5 Co 0.0000 0.2504 0.2499 x8  8 Co 2.47-2.50, 2 W 2.49, 2 Al 2.49-2.50
6 Co 0.0000 0.5000 0.0000 x2  2 Al 2.44, 2 W 2.44, 8 Co 2.50
7 Co 0.0000 0.5000 0.5000 x2  4 W 2.46-2.54, 8 Co 2.49
8 Co 0.2470 0.1253 0.1249 x16  3 Al 2.47-2.50, 8 Co 2.47-2.50, 1 W 2.48
9 Co 0.2494 0.1247 0.3751 x16  3 W 2.48-2.52, 8 Co 2.48-2.50, 1 Al 2.49
10 W 0.0000 0.2527 0.5000 x4  12 Co 2.46-2.52
11 W 0.0000 0.5000 0.2450 x4  12 Co 2.44-2.54



4.
Below is a PBEsol-optimized structure of Al2CoW, with properties calculated at the meta-GGA SCAN level.

Results
ΔH_f (0 K) = 0.387 eV/atom
crystal system = tetragonal
energy above the lowest structure with this stoichiometry = 11.66 kcal/mol of atoms

a = 6.6957 Å, b = 6.6957 Å, c = 5.1091 Å
α = 90.00°, β = 90.00°, γ = 90.00°
Closest atoms and distances in Å follow each position.
Space group I-42d (No. 122)
Symmetry-distinct sites (fractional):
1 Al 0.2084 0.2500 0.1250 x8  2 Co 2.27
2 Co 0.0000 0.0000 0.0000 x4  4 Al 2.27
3 W 0.0000 0.0000 0.5000 x4  2 Co 2.55, 4 Al 2.65



5.
Below is a PBEsol-optimized structure of Al2CoW, with properties calculated at the meta-GGA SCAN level.

Results
ΔH_f (0 K) = 0.012 eV/atom
crystal system = trigonal
energy above the lowest structure with this stoichiometry = 3.02 kcal/mol of atoms

a = 2.7691 Å, b = 2.7691 Å, c = 25.5019 Å
α = 90.00°, β = 90.00°, γ = 120.00°
Closest atoms and distances in Å follow each position.
Space group R3m (No. 160, hexagonal axes)
Symmetry-distinct sites (fractional):
1 Al 0.0000 0.0000 0.0000 x3  3 W 2.75, 9 Al 2.77-2.86
2 Al 0.0000 0.0000 0.2404 x3  3 Co 2.48, 6 Al 2.77
3 Co 0.0000 0.0000 0.4995 x3  3 Al 2.48, 3 W 2.56, 6 Co 2.77
4 W 0.0000 0.0000 0.7546 x3  3 Co 2.56, 3 Al 2.75, 6 W 2.77



6.
Below is a PBEsol-optimized structure of Al2CoW, with properties calculated at the meta-GGA SCAN level.

Results
ΔH_f (0 K) = -0.118 eV/atom
crystal system = tetragonal
energy above the lowest structure with this stoichiometry = 0.00 kcal/mol of atoms

a = 2.9503 Å, b = 2.9503 Å, c = 6.1643 Å
α = 90.00°, β = 90.00°, γ = 90.00°
Closest atoms and distances in Å follow each position.
Space group P4mm (No. 99)
Symmetry-distinct sites (fractional):
1 Al 0.0000 0.0000 0.0000 x1  4 W 2.67, 8 Al 2.71-2.95, 1 Co 2.91
2 Al 0.5000 0.5000 0.2795 x1  4 Co 2.40
3 Co 0.0000 0.0000 0.4727 x1  4 Al 2.40, 4 W 2.62
4 W 0.5000 0.5000 0.7302 x1  4 Co 2.62, 5 Al 2.67-2.78



Summary of total magnetic moment in μB per formula unit
1.67; 1.34; 1.05; 0.00; 1.10; 1.10
(order as listed above)
Summary of mass density in Mg/m³
10.49; 8.26; 10.75; 8.60; 8.73; 9.18
(order as listed above)